(1)
# Na2VI4, relaxed, DFT GGA-PBE
# D(E_F) in states/eV/atom: 0.334
# Raw total energy in eV per atom: -3.2982
# Space-group type: I4/mmm
# Theoretical density in kg/m³: 3850
data_Na2VI4
_chemical_formula_sum 'Na2 V1 I4'
_space_group_name_H-M_alt 'P 1'
_space_group_IT_number 1
_cell_length_a 5.6810
_cell_length_b 5.6810
_cell_length_c 9.0220
_cell_angle_alpha 71.65
_cell_angle_beta 71.65
_cell_angle_gamma 90.00
loop_
_space_group_symop_operation_xyz
'x,y,z'
loop_
_atom_site_label
_atom_site_type_symbol
_atom_site_fract_x
_atom_site_fract_y
_atom_site_fract_z
_atom_site_occupancy
I1 I 0.1750 0.1750 0.6501 1
I2 I 0.8250 0.8250 0.3499 1
I3 I 0.0000 0.5000 0.0000 1
I4 I 0.5000 0.0000 0.0000 1
Na1 Na 0.3660 0.3660 0.2680 1
Na2 Na 0.6340 0.6340 0.7320 1
V1 V 0.0000 0.0000 0.0000 1

***

(2)
# NaVZnI2, relaxed, DFT GGA-PBE
# D(E_F) in states/eV/atom: 2.263
# Raw total energy in eV per atom: -2.0343
# Space-group type: P4/mmm
# Theoretical density in kg/m³: 3801
data_NaVZnI2
_chemical_formula_sum 'Na1 V1 Zn1 I2'
_space_group_name_H-M_alt 'P 1'
_space_group_IT_number 1
_cell_length_a 5.7361
_cell_length_b 5.2205
_cell_length_c 5.7361
_cell_angle_alpha 90.00
_cell_angle_beta 90.00
_cell_angle_gamma 90.00
loop_
_space_group_symop_operation_xyz
'x,y,z'
loop_
_atom_site_label
_atom_site_type_symbol
_atom_site_fract_x
_atom_site_fract_y
_atom_site_fract_z
_atom_site_occupancy
I1 I 0.0000 0.0000 0.5000 1
I2 I 0.5000 0.0000 0.0000 1
Na1 Na 0.0000 0.5000 0.0000 1
Zn1 Zn 0.0000 0.0000 0.0000 1
V1 V 0.5000 0.5000 0.5000 1

***

(3)
# NaW2I2, relaxed, DFT GGA-PBE
# D(E_F) in states/eV/atom: 1.110
# Space-group type: P4/mbm
# Theoretical density in kg/m³: 8803
# E above lowest polymorph in meV per atom: 222
data_NaW2I2
_chemical_formula_sum 'Na2 W4 I4'
_space_group_name_H-M_alt 'P 1'
_space_group_IT_number 1
_cell_length_a 8.5409
_cell_length_b 8.5409
_cell_length_c 3.3330
_cell_angle_alpha 90.00
_cell_angle_beta 90.00
_cell_angle_gamma 90.00
loop_
_space_group_symop_operation_xyz
'x,y,z'
loop_
_atom_site_label
_atom_site_type_symbol
_atom_site_fract_x
_atom_site_fract_y
_atom_site_fract_z
_atom_site_occupancy
I1 I 0.1993 0.6993 0.5000 1
I2 I 0.6993 0.8007 0.5000 1
I3 I 0.8007 0.3007 0.5000 1
I4 I 0.3007 0.1993 0.5000 1
Na1 Na 0.0000 0.0000 0.0000 1
Na2 Na 0.5000 0.5000 0.0000 1
W1 W 0.4025 0.9025 0.0000 1
W2 W 0.9025 0.5975 0.0000 1
W3 W 0.5975 0.0975 0.0000 1
W4 W 0.0975 0.4025 0.0000 1

***

(4)
# Na2WI, relaxed, DFT GGA-PBE
# D(E_F) in states/eV/atom: 0.090
# Space-group type: Fm-3m
# Theoretical density in kg/m³: 4729
# E above lowest polymorph in meV per atom: 16
data_Na2WI
_chemical_formula_sum 'Na2 W1 I1'
_space_group_name_H-M_alt 'P 1'
_space_group_IT_number 1
_cell_length_a 5.6163
_cell_length_b 5.6163
_cell_length_c 5.6163
_cell_angle_alpha 60.00
_cell_angle_beta 60.00
_cell_angle_gamma 60.00
loop_
_space_group_symop_operation_xyz
'x,y,z'
loop_
_atom_site_label
_atom_site_type_symbol
_atom_site_fract_x
_atom_site_fract_y
_atom_site_fract_z
_atom_site_occupancy
I1 I 0.0000 0.0000 0.0000 1
Na1 Na 0.2500 0.2500 0.2500 1
Na2 Na 0.7500 0.7500 0.7500 1
W1 W 0.5000 0.5000 0.5000 1

***

(5)
# NaWI3, relaxed, DFT GGA-PBE
# D(E_F) in states/eV/atom: 0.151
# Space-group type: Pm-3m
# Theoretical density in kg/m³: 5058
# E above lowest polymorph in meV per atom: 0
data_NaWI3
_chemical_formula_sum 'Na1 W1 I3'
_space_group_name_H-M_alt 'P 1'
_space_group_IT_number 1
_cell_length_a 5.7780
_cell_length_b 5.7780
_cell_length_c 5.7780
_cell_angle_alpha 90.00
_cell_angle_beta 90.00
_cell_angle_gamma 90.00
loop_
_space_group_symop_operation_xyz
'x,y,z'
loop_
_atom_site_label
_atom_site_type_symbol
_atom_site_fract_x
_atom_site_fract_y
_atom_site_fract_z
_atom_site_occupancy
I1 I 0.0000 0.5000 0.0000 1
I2 I 0.0000 0.0000 0.5000 1
I3 I 0.5000 0.0000 0.0000 1
Na1 Na 0.5000 0.5000 0.5000 1
W1 W 0.0000 0.0000 0.0000 1

***

(6)
# Na2WI, relaxed, DFT GGA-PBE
# D(E_F) in states/eV/atom: 0.615
# Space-group type: I-42d
# Theoretical density in kg/m³: 4943
# E above lowest polymorph in meV per atom: 0
data_Na2WI
_chemical_formula_sum 'Na4 W2 I2'
_space_group_name_H-M_alt 'P 1'
_space_group_IT_number 1
_cell_length_a 8.8100
_cell_length_b 8.8100
_cell_length_c 6.9529
_cell_angle_alpha 50.69
_cell_angle_beta 50.69
_cell_angle_gamma 90.00
loop_
_space_group_symop_operation_xyz
'x,y,z'
loop_
_atom_site_label
_atom_site_type_symbol
_atom_site_fract_x
_atom_site_fract_y
_atom_site_fract_z
_atom_site_occupancy
I1 I 0.5000 0.5000 0.0000 1
I2 I 0.2500 0.7500 0.5000 1
Na1 Na 0.6142 0.1250 0.2500 1
Na2 Na 0.1358 0.6250 0.2500 1
Na3 Na 0.3750 0.3858 0.7500 1
Na4 Na 0.8750 0.8642 0.7500 1
W1 W 0.0000 0.0000 0.0000 1
W2 W 0.7500 0.2500 0.5000 1

***

What is the D(E_F) in the sixth record?
0.615 states/eV/atom

***

What is the theoretical density in the fifth record?
5058 kg/m³

***

Which value of theoretical density does entry 2 give?
3801 kg/m³